1.
Zr5FeSb3 | PBE | relaxed

The total energy comes out at -7.6802 eV per atom. The formation energy from raw total energies is -0.62 eV/atom. As for the density of states at the Fermi level: 15.584 states/eV/cell.

The space group is P6_3/mcm (No. 193) and the conventional cell measures 8.6650, 8.6650 and 5.8038 Å, with angles of 90.00, 90.00 and 120.00 degrees. The distinct sites, in fractional coordinates, are Zr at (0.0000, 0.2562, 0.2500), Zr at (0.3333, 0.6667, 0.0000), Fe at (0.0000, 0.0000, 0.0000) and Sb at (0.0000, 0.3896, 0.7500).

=====

2.
ZrFe2Sb | PBE | relaxed

The total energy comes out at -7.4157 eV per atom. The formation energy from raw total energies is -0.02 eV/atom. As for the density of states at the Fermi level: 5.874 states/eV/cell.

The space group is I-4m2 (No. 119) and the conventional cell measures 3.986, 3.986 and 8.350 Å, with angles of 90.00, 90.00 and 90.00 degrees. The distinct sites, in fractional coordinates, are Zr at (0.000, 0.000, 0.000), Fe at (0.000, 0.000, 0.500), Fe at (0.000, 0.500, 0.750) and Sb at (0.000, 0.500, 0.250).

=====

3.
ZrFeSb2 | PBE | relaxed

The total energy comes out at -6.3498 eV per atom. The formation energy from raw total energies is -0.04 eV/atom. As for the density of states at the Fermi level: 3.715 states/eV/cell.

The space group is Cmmm (No. 65) and the conventional cell measures 4.214, 5.219 and 7.233 Å, with angles of 90.00, 90.00 and 90.00 degrees. The distinct sites, in fractional coordinates, are Zr at (0.000, 0.000, 0.000), Fe at (0.000, 0.000, 0.500) and Sb at (0.000, 0.500, 0.283).

=====

Question: formation energy from raw total energies of number 2 (ZrFe2Sb)?
Answer: -0.02 eV/atom

=====

Question: Which value of formation energy from raw total energies does entry 1 give?
Answer: -0.62 eV/atom

=====

Question: Look up the formation energy from raw total energies of the second one.
Answer: -0.02 eV/atom